A plane-wave DFT calculation with PBE was carried out for a geometry-optimized Cs2HgAsCl6 structure.

a = 7.661 Å, b = 7.661 Å, c = 7.661 Å
α = 60.00°, β = 60.00°, γ = 60.00°
Element x y z (fractional)
Cl 0.233 0.767 0.233
Cl 0.767 0.767 0.233
Cl 0.767 0.233 0.767
Cl 0.767 0.233 0.233
Cl 0.233 0.767 0.767
Cl 0.233 0.233 0.767
As 0.000 0.000 0.000
Hg 0.500 0.500 0.500
Cs 0.250 0.250 0.250
Cs 0.750 0.750 0.750

Summary:
For the total magnetization, the calculation gives 0.00 μB per cell. Its formation energy from raw total energies is -1.1643 eV/atom.